Record 1
{
  "formula": "Sc3NbS",
  "functional": "PBEsol",
  "state": "relaxed",
  "mass_density_kg_m3": 4058,
  "total_magnetization_mub_per_cell": 0.00,
  "dft_energy_ha_per_atom": -0.2701,
  "n_ef_per_ev_atom": 1.258,
  "formation_energy_uncorrected_ev_per_atom": -0.345,
  "lattice": [[-3.342, 1.317, -3.088], [-3.351, -1.026, 3.189], [0.218, 4.434, 1.655]],
  "species": ["Sc", "Sc", "Sc", "Nb", "S"],
  "frac_coords": [[0.000, 0.500, 0.000], [0.500, 0.000, 0.000], [0.000, 0.000, 0.500], [0.500, 0.500, 0.500], [0.000, 0.000, 0.000]]
}

=====

Record 2
{
  "formula": "TeI2BrO",
  "functional": "PBEsol",
  "state": "relaxed",
  "mass_density_kg_m3": 5943,
  "total_magnetization_mub_per_cell": 0.00,
  "dft_energy_ha_per_atom": -0.0838,
  "n_ef_per_ev_atom": 0.895,
  "formation_energy_uncorrected_ev_per_atom": 0.554,
  "lattice": [[-2.151, 0.158, 3.243], [-4.459, -2.516, -2.835], [1.980, -5.278, 1.570]],
  "species": ["O", "I", "I", "Br", "Te"],
  "frac_coords": [[0.500, 0.000, 0.000], [0.000, 0.500, 0.000], [0.000, 0.000, 0.500], [0.000, 0.000, 0.000], [0.500, 0.500, 0.500]]
}

=====

Record 3
{
  "formula": "Co2NiAs",
  "functional": "PBEsol",
  "state": "relaxed",
  "mass_density_kg_m3": 9175,
  "formation_enthalpy_0k_ev_per_atom": 0.013,
  "total_magnetization_mub_per_cell": 2.86,
  "dft_energy_ha_per_atom": -0.2452,
  "n_ef_per_ev_atom": 0.915,
  "lattice": [[-1.579, -2.193, -0.022], [2.358, -1.716, 1.759], [-2.094, 1.465, 4.235]],
  "species": ["Co", "Co", "As", "Ni"],
  "frac_coords": [[0.500, 0.500, 0.241], [0.000, 0.000, 0.014], [0.500, 0.500, 0.746], [0.000, 0.000, 0.498]]
}

=====

Record 4
{
  "formula": "YNiOs",
  "functional": "PBEsol",
  "state": "relaxed",
  "mass_density_kg_m3": 10247,
  "relative_energy_mev_per_atom": 289,
  "formation_enthalpy_0k_ev_per_atom": 0.396,
  "total_magnetization_mub_per_cell": 1.29,
  "dft_energy_ha_per_atom": -0.2941,
  "n_ef_per_ev_atom": 1.682,
  "lattice": [[-1.528, -2.689, 2.933], [-2.742, -3.059, -1.136], [1.237, -4.079, 0.001]],
  "species": ["Os", "Y", "Ni"],
  "frac_coords": [[0.000, 0.000, 0.000], [0.500, 0.500, 0.500], [0.750, 0.750, 0.750]]
}

=====

What did the second record say?
{
  "formula": "TeI2BrO",
  "functional": "PBEsol",
  "state": "relaxed",
  "mass_density_kg_m3": 5943,
  "total_magnetization_mub_per_cell": 0.00,
  "dft_energy_ha_per_atom": -0.0838,
  "n_ef_per_ev_atom": 0.895,
  "formation_energy_uncorrected_ev_per_atom": 0.554,
  "lattice": [[-2.151, 0.158, 3.243], [-4.459, -2.516, -2.835], [1.980, -5.278, 1.570]],
  "species": ["O", "I", "I", "Br", "Te"],
  "frac_coords": [[0.500, 0.000, 0.000], [0.000, 0.500, 0.000], [0.000, 0.000, 0.500], [0.000, 0.000, 0.000], [0.500, 0.500, 0.500]]
}